Entry 1:
Material: Np2MnNi3P4
Method: DFT, GGA-PBE
State: optimized geometry

Cell: 4.017 4.017 8.979 Å, 90.00 90.00 90.00°
Site moments in Bohr magnetons follow the coordinates.
Element x y z (fractional)
P 0.000 0.000 0.000  -0.03
P 0.000 0.500 0.364  -0.01
P 0.500 0.500 0.000  -0.02
P 0.500 0.000 0.636  -0.01
Ni 0.000 0.000 0.500  -0.13
Ni 0.000 0.500 0.113  0.08
Ni 0.500 0.000 0.887  0.08
Mn 0.500 0.500 0.500  -2.17
Np 0.500 0.000 0.245  3.56
Np 0.000 0.500 0.755  3.56

Calculated total energy ... -8.0919 eV/atom
Space group ... No. 115
Formation energy from the elements ... -0.69 eV/atom
DOS(E_F) ... 18.922 states/eV/f.u.



Entry 2:
Material: NpMnNiP2
Method: DFT, GGA-PBE
State: optimized geometry

Cell: 3.738 3.738 5.759 Å, 108.94 108.94 90.00°
Site moments in Bohr magnetons follow the coordinates.
Element x y z (fractional)
Mn 0.250 0.750 0.500  0.15
Ni 0.750 0.250 0.500  0.04
P 0.628 0.628 0.257  -0.02
P 0.372 0.372 0.743  -0.02
Np 0.000 0.000 0.000  3.60

Calculated total energy ... -8.4295 eV/atom
Space group ... No. 119
Formation energy from the elements ... -0.69 eV/atom
DOS(E_F) ... 8.003 states/eV/f.u.



Entry 3:
Material: NpMnNiPt
Method: DFT, GGA-PBE
State: optimized geometry

Cell: 4.464 4.464 4.464 Å, 60.00 60.00 60.00°
Site moments in Bohr magnetons follow the coordinates.
Element x y z (fractional)
Mn 0.000 0.000 0.000  2.73
Pt 0.750 0.750 0.750  0.17
Np 0.250 0.250 0.250  3.20
Ni 0.500 0.500 0.500  -0.16

Calculated total energy ... -8.4949 eV/atom
Space group ... No. 216
Formation energy from the elements ... -0.01 eV/atom
DOS(E_F) ... 7.964 states/eV/f.u.



Entry 4:
Material: PuNpMnNi
Method: DFT, GGA-PBE
State: optimized geometry

Cell: 4.343 4.343 4.343 Å, 60.00 60.00 60.00°
Site moments in Bohr magnetons follow the coordinates.
Element x y z (fractional)
Ni 0.250 0.250 0.250  0.03
Mn 0.000 0.000 0.000  -1.13
Np 0.750 0.750 0.750  -0.24
Pu 0.500 0.500 0.500  2.81

Calculated total energy ... -10.5679 eV/atom
Space group ... No. 216
Formation energy from the elements ... -0.01 eV/atom
DOS(E_F) ... 10.217 states/eV/f.u.



Entry 5:
Material: Np2MnSi6Ni
Method: DFT, GGA-PBE
State: optimized geometry

Cell: 5.783 5.783 11.567 Å, 75.52 75.52 60.00°
Site moments in Bohr magnetons follow the coordinates.
Element x y z (fractional)
Mn 0.000 0.000 0.000  0.16
Mn 0.500 0.500 0.500  -0.36
Si 0.770 0.350 0.110  -0.03
Si 0.230 0.230 0.890  -0.03
Si 0.931 0.339 0.391  -0.02
Si 0.350 0.770 0.110  -0.03
Si 0.069 0.661 0.609  -0.02
Si 0.339 0.339 0.391  -0.02
Si 0.650 0.230 0.890  -0.03
Si 0.661 0.069 0.609  -0.02
Si 0.770 0.770 0.110  -0.03
Si 0.661 0.661 0.609  -0.02
Si 0.230 0.650 0.890  -0.03
Si 0.339 0.931 0.391  -0.02
Np 0.710 0.710 0.871  3.62
Np 0.290 0.290 0.129  3.62
Np 0.116 0.116 0.653  3.76
Np 0.884 0.884 0.347  3.76
Ni 0.426 0.426 0.723  0.06
Ni 0.574 0.574 0.277  0.06

Calculated total energy ... -7.6050 eV/atom
E_form (uncorrected) ... -268 meV per atom
Space group ... No. 166
DOS(E_F) ... 13.188 states/eV/f.u.



Entry 6:
Material: NpMnNiSn
Method: DFT, GGA-PBE
State: optimized geometry

Cell: 4.640 4.640 4.640 Å, 60.00 60.00 60.00°
Site moments in Bohr magnetons follow the coordinates.
Element x y z (fractional)
Sn 0.500 0.500 0.500  -0.02
Ni 0.250 0.250 0.250  -0.45
Np 0.000 0.000 0.000  3.58
Mn 0.750 0.750 0.750  -2.95

Calculated total energy ... -7.9646 eV/atom
Space group ... No. 216
Formation energy from the elements ... 0.01 eV/atom
DOS(E_F) ... 7.032 states/eV/f.u.